SrNp2Tl3S6, relaxed, DFT PBE; size of the total moment = 7.0 μB per formula unit; E = -73.01 eV for the cell shown; ΔE_f (raw) = -109.2 kJ/mol of atoms; symmetry = C2/m, No. 12
1.0
9.5695 -2.0626 0.0000
9.5695 2.0626 0.0000
-2.7686 0.0000 8.4369
Sr Np Tl S
1 2 3 6
Cartesian
0.0000 0.0000 0.0000 Sr
4.4740 0.0000 5.6314 Np
11.8965 0.0000 2.8055 Np
-1.3843 0.0000 4.2185 Tl
5.9675 0.0000 1.4636 Tl
10.4029 0.0000 6.9733 Tl
2.8607 0.0000 1.0566 S
1.9296 0.0000 4.6017 S
7.0303 0.0000 6.3482 S
9.3401 0.0000 2.0887 S
14.4409 0.0000 3.8352 S
13.5098 0.0000 7.3803 S